Entry A
PBE PrCd3Pd3, relaxed; M_tot = 0.000 μB per formula unit; crystal system = cubic; symmetry = Pm-3n, No. 223
1.0
7.277 0.000 0.000
0.000 7.277 0.000
0.000 0.000 7.277
Pr Cd Pd
2 6 6
Cartesian
0.000 0.000 0.000
3.639 3.639 3.639
0.000 1.819 3.639
0.000 5.458 3.639
1.819 3.639 0.000
3.639 0.000 1.819
3.639 0.000 5.458
5.458 3.639 0.000
0.000 3.639 1.819
0.000 3.639 5.458
1.819 0.000 3.639
3.639 1.819 0.000
3.639 5.458 0.000
5.458 0.000 3.639



Entry B
PBE PrCd3Pd3, relaxed; M_tot = 0.000 μB per formula unit; crystal system = trigonal; symmetry = R3m, No. 160
1.0
4.778 2.758 1.865
-4.778 2.758 1.865
0.000 -5.517 1.865
Pr Cd Pd
1 3 3
Cartesian
0.000 0.000 0.000
-2.072 -1.197 2.644
2.072 -1.197 2.644
0.000 2.393 2.644
0.000 -2.686 1.638
-2.327 1.343 1.638
2.327 1.343 1.638



Quick look at relative energies in meV/atom: entry A 565; entry B 0.



Entry A
PBE PrCd3Pd, relaxed; M_tot = 0.000 μB per formula unit; crystal system = tetragonal; symmetry = I-4m2, No. 119
1.0
-2.766 2.766 9.294
2.766 -2.766 9.294
2.766 2.766 -9.294
Pr Cd Pd
2 6 2
Cartesian
0.000 0.000 3.594
0.000 0.000 14.995
1.404 2.766 -2.294
1.362 0.000 7.000
2.766 1.404 2.294
0.000 2.766 0.778
0.000 1.362 11.588
0.000 2.766 8.516
2.766 0.000 4.647
0.000 0.000 9.294



Entry B
PBE PrCd3Pd, relaxed; M_tot = 0.000 μB per formula unit; crystal system = monoclinic; symmetry = P2_1/m, No. 11
1.0
5.623 0.000 0.000
0.000 5.911 0.000
-0.229 0.000 6.955
Pr Cd Pd
2 6 2
Cartesian
0.744 1.478 2.537
4.650 4.433 4.418
0.500 4.433 0.748
1.872 0.032 5.605
1.872 2.924 5.605
3.522 2.987 1.350
3.522 5.879 1.350
4.894 1.478 6.207
1.815 4.433 3.201
3.579 1.478 3.754



Quick look at relative energies in meV/atom: entry A 293; entry B 0.



Entry A
PBE PrCd2Pd9, relaxed; M_tot = 0.000 μB per formula unit; crystal system = tetragonal; symmetry = P4/mmm, No. 123
1.0
4.117 0.000 0.000
0.000 4.117 0.000
0.000 0.000 12.185
Pr Cd Pd
1 2 9
Cartesian
0.000 0.000 0.000
0.000 0.000 4.145
0.000 0.000 8.040
0.000 2.059 2.165
0.000 2.059 6.093
0.000 2.059 10.020
2.059 0.000 2.165
2.059 0.000 6.093
2.059 0.000 10.020
2.059 2.059 0.000
2.059 2.059 4.116
2.059 2.059 8.069



Entry B
PBE PrCd2Pd9, relaxed; M_tot = 0.000 μB per formula unit; crystal system = trigonal; symmetry = R-3m, No. 166
1.0
2.681 1.548 8.759
-2.681 1.548 8.759
0.000 -3.096 8.759
Pr Cd Pd
1 2 9
Cartesian
0.000 0.000 0.000
0.000 0.000 3.796
0.000 0.000 22.481
-1.357 -0.784 11.021
0.000 0.000 8.768
0.000 -1.567 15.256
-1.357 0.784 15.256
0.000 0.000 13.139
1.357 -0.784 11.021
0.000 1.567 11.021
0.000 0.000 17.509
1.357 0.784 15.256



Quick look at relative energies in meV/atom: entry A 0; entry B 51.



Entry A
PBE PrCd2Pd5, relaxed; M_tot = 0.000 μB per formula unit; crystal system = monoclinic; symmetry = C2/m, No. 12
1.0
6.035 0.000 0.000
0.000 6.038 0.000
-3.005 0.000 8.012
Pr Cd Pd
2 4 10
Cartesian
0.000 0.000 0.000
3.018 3.019 0.000
0.005 3.019 3.964
0.008 0.000 4.048
3.023 0.000 3.964
3.025 3.019 4.048
0.000 3.019 0.000
-1.499 1.510 5.906
-1.499 4.528 5.906
1.512 1.509 2.106
1.512 4.528 2.106
3.018 0.000 0.000
1.518 1.509 5.906
1.518 4.528 5.906
4.530 1.510 2.106
4.530 4.528 2.106



Entry B
PBE PrCd2Pd5, relaxed; M_tot = 0.000 μB per formula unit; crystal system = orthorhombic; symmetry = Immm, No. 71
1.0
4.209 0.000 0.000
0.000 5.937 0.000
0.000 0.000 12.836
Pr Cd Pd
2 4 10
Cartesian
0.000 0.000 0.000
2.104 2.969 6.418
0.000 2.969 2.791
0.000 2.969 10.045
2.104 0.000 3.627
2.104 0.000 9.209
0.000 1.391 5.008
0.000 1.391 7.828
0.000 2.969 0.000
0.000 4.546 5.008
0.000 4.546 7.828
2.104 0.000 6.418
2.104 1.577 1.410
2.104 1.577 11.425
2.104 4.360 1.410
2.104 4.360 11.425



Quick look at relative energies in meV/atom: entry A 0; entry B 93.



Entry A
PBE Cd2Pd2Pt, relaxed; M_tot = 0.000 μB per formula unit; crystal system = tetragonal; symmetry = P4/mbm, No. 127
1.0
6.916 0.000 0.000
0.000 6.916 0.000
0.000 0.000 3.839
Cd Pd Pt
4 4 2
Cartesian
1.170 2.288 0.000
2.288 5.746 0.000
4.628 1.170 0.000
5.746 4.628 0.000
0.930 4.388 1.920
2.528 0.930 1.920
4.388 5.986 1.920
5.986 2.528 1.920
0.000 0.000 1.920
3.458 3.458 1.920



Entry B
PBE Cd2Pd2Pt, relaxed; M_tot = 0.000 μB per formula unit; crystal system = orthorhombic; symmetry = Cmmm, No. 65
1.0
4.741 0.000 0.000
0.000 7.547 0.000
0.000 0.000 5.515
Cd Pd Pt
4 4 2
Cartesian
0.000 0.000 1.378
0.000 0.000 4.137
2.370 3.773 1.378
2.370 3.773 4.137
0.000 2.498 0.000
0.000 5.049 0.000
2.370 1.275 0.000
2.370 6.271 0.000
0.000 3.773 2.757
2.370 0.000 2.757



Quick look at relative energies in meV/atom: entry A 0; entry B 227.



Entry A
PBE Cd2Pd2Pt, relaxed; M_tot = 0.000 μB per formula unit; crystal system = tetragonal; symmetry = P4/mbm, No. 127
1.0
7.726 0.000 0.000
0.000 7.726 0.000
0.000 0.000 3.011
Cd Pd Pt
4 4 2
Cartesian
1.228 2.635 0.000
2.635 6.498 0.000
5.092 1.228 0.000
6.498 5.092 0.000
1.069 4.932 1.506
2.794 1.069 1.506
4.932 6.657 1.506
6.657 2.794 1.506
0.000 0.000 0.000
3.863 3.863 0.000



Entry B
PBE Cd2Pd2Pt, relaxed; M_tot = 0.000 μB per formula unit; crystal system = orthorhombic; symmetry = Ibam, No. 72
1.0
-3.219 5.645 2.592
3.219 -5.645 2.592
3.219 5.645 -2.592
Cd Pd Pt
4 4 2
Cartesian
1.605 1.988 0.000
1.605 -1.988 2.592
1.614 7.632 0.000
1.614 3.657 2.592
4.193 0.951 0.000
0.974 4.694 0.000
2.244 0.951 2.592
-0.974 4.694 2.592
0.000 0.000 1.296
0.000 0.000 3.888



Quick look at relative energies in meV/atom: entry A 88; entry B 0.